{"formula": "Nd3PuSc2Te6", "functional": "GGA-PBE", "state": "optimized geometry", "lattice": [[4.3343, 0.0000, 0.0000], [0.0000, 8.8255, 0.2402], [-2.1671, -2.6204, 9.2173]], "species": ["Te", "Te", "Te", "Te", "Te", "Te", "Sc", "Sc", "Nd", "Nd", "Nd", "Pu"], "fractional_positions": [[0.3324, 0.9014, 0.6647], [0.6741, 0.5672, 0.3483], [0.0067, 0.2491, 0.0135], [0.6676, 0.0986, 0.3353], [0.9933, 0.7509, 0.9865], [0.3259, 0.4328, 0.6517], [0.1628, 0.3246, 0.3255], [0.8372, 0.6754, 0.6745], [0.8379, 0.1694, 0.6757], [0.1621, 0.8306, 0.3243], [0.5000, 0.5000, 0.0000], [0.5000, 0.0000, 0.0000]], "final_energy_ev_per_atom": -6.28, "dos_ef_per_ev_cell": 12.1, "space_group": "C2/m", "crystal_system": "monoclinic"}